[1]
Material: Pr4H2Cl5
Method: DFT, PBE-GGA
State: optimized geometry

The density comes out at 4.3 g/cm³. Its calculated volume is 25.995 Å³/atom. The density of states at the Fermi level comes out at 0.455 states/eV per atom. As for the energy: -51.758 eV per formula unit. For the size of the total moment, the calculation gives 0.00 μB/f.u.

Cell: 8.7150 8.7150 8.6983 Å, 104.37 104.37 26.59°
With the nearest neighbours (Å) after each atom.
Positions (direct):
Pr 0.0006 0.0006 0.2569  2 H 2.26
Pr 0.3626 0.3626 0.4288  2 H 2.49
Pr 0.6374 0.6374 0.5712  2 H 2.49
Pr 0.9994 0.9994 0.7431  2 H 2.26
H 0.4993 0.4993 0.6226  1 H 2.14, 2 Pr 2.26
H 0.5007 0.5007 0.3774  1 H 2.14, 2 Pr 2.26
Cl 0.1718 0.1718 0.8181  3 Pr 2.83-2.89
Cl 0.1768 0.1768 0.3547  4 Pr 2.89-3.05
Cl 0.5000 0.5000 0.0000  4 Pr 3.00, 2 H 3.28
Cl 0.8232 0.8232 0.6453  4 Pr 2.89-3.05
Cl 0.8282 0.8282 0.1819  3 Pr 2.83-2.89

=====

[2]
Material: Pr2HCl4
Method: DFT, PBE-GGA
State: optimized geometry

The density comes out at 4.0 g/cm³. Its calculated volume is 24.955 Å³/atom. The density of states at the Fermi level comes out at 0.764 states/eV per atom. As for the energy: -32.201 eV per formula unit. For the size of the total moment, the calculation gives 1.02 μB/f.u.

Cell: 9.0888 9.0888 9.0888 Å, 30.81 30.81 30.81°
With the nearest neighbours (Å) after each atom.
Positions (direct):
Pr 0.0824 0.0824 0.0824  1 H 2.14
Pr 0.9176 0.9176 0.9176  1 H 2.14
H 0.0000 0.0000 0.0000  2 Pr 2.14
Cl 0.2053 0.2053 0.2053  4 Pr 3.03-3.19
Cl 0.3852 0.3852 0.3852  3 Pr 2.90, 3 H 3.10
Cl 0.6148 0.6148 0.6148  3 Pr 2.90, 3 H 3.10
Cl 0.7947 0.7947 0.7947  4 Pr 3.03-3.19

=====

[3]
Material: Pr2HCl
Method: DFT, PBE-GGA
State: optimized geometry

The density comes out at 6.0 g/cm³. Its calculated volume is 21.918 Å³/atom. The density of states at the Fermi level comes out at 0.584 states/eV per atom. As for the energy: -17.815 eV per formula unit. For the size of the total moment, the calculation gives 0.00 μB/f.u. Its polymorph energy (0 for the lowest one) is 153 meV per atom.

Cell: 3.5558 3.5558 24.0211 Å, 90.00 90.00 120.00°
With the nearest neighbours (Å) after each atom.
Positions (direct):
Pr 0.0000 0.0000 0.0000  3 H 2.55
Pr 0.0000 0.0000 0.1446  3 H 2.84, 3 Cl 3.09
Pr 0.3333 0.6667 0.6667  3 H 2.55
Pr 0.3333 0.6667 0.8112  3 H 2.84, 3 Cl 3.09
Pr 0.6667 0.3333 0.3333  3 H 2.55
Pr 0.6667 0.3333 0.4779  3 H 2.84, 3 Cl 3.09
H 0.0000 0.0000 0.3960  6 Pr 2.55-2.84
H 0.3333 0.6667 0.0627  6 Pr 2.55-2.84
H 0.6667 0.3333 0.7294  6 Pr 2.55-2.84
Cl 0.0000 0.0000 0.5739  6 Pr 3.03-3.09
Cl 0.3333 0.6667 0.2405  6 Pr 3.03-3.09
Cl 0.6667 0.3333 0.9072  6 Pr 3.03-3.09

=====

Among the records above, which one has the highest size of the total moment? Pr2HCl4

=====

The lowest energy belongs to which entry? Pr4H2Cl5